No. 1
Te3HBr: relaxed, PBE.

Cell: 5.6858 5.6858 5.6858 Å, 90.00 90.00 90.00°
Closest atoms and distances in Å follow each position.
Atoms (fractional coordinates):
Te (0.0000, 0.5000, 0.0000)  2 Br 2.84
Te (0.5000, 0.0000, 0.0000)  2 Br 2.84
Br (0.0000, 0.0000, 0.0000)  6 Te 2.84
H (0.5000, 0.5000, 0.5000)  12 Te 4.02
Te (0.0000, 0.0000, 0.5000)  2 Br 2.84

Summary:
As for the offset from the most stable computed form: 3.24 eV per formula unit. Its symmetry is No. 221. Its crystal system is cubic.

=====

No. 2
MgMoRu2: relaxed, PBE.

Cell: 2.7104 2.7104 9.1841 Å, 90.00 90.00 113.82°
Closest atoms and distances in Å follow each position.
Atoms (fractional coordinates):
Mg (0.0000, 0.0000, 0.4908)  2 Ru 2.70, 6 Mg 2.71-2.96, 2 Mo 2.89
Ru (0.5000, 0.5000, 0.2452)  8 Ru 2.68-2.96, 2 Mg 2.70
Ru (0.0000, 0.0000, 0.0022)  2 Mo 2.66, 8 Ru 2.68-2.96
Mo (0.5000, 0.5000, 0.7617)  2 Ru 2.66, 6 Mo 2.71-2.96, 2 Mg 2.89

Summary:
Its symmetry is No. 35. The value obtained for the formation energy is 0.34 eV/atom. Its crystal system is orthorhombic.

=====

No. 3
Nd2GdSb: relaxed, PBE.

Cell: 4.8839 4.9076 4.9076 Å, 90.00 90.00 90.00°
Closest atoms and distances in Å follow each position.
Atoms (fractional coordinates):
Nd (0.0000, 0.0000, 0.5000)  4 Sb 3.46, 4 Gd 3.46, 4 Nd 3.47
Nd (0.0000, 0.5000, 0.0000)  4 Sb 3.46, 4 Gd 3.46, 4 Nd 3.47
Gd (0.5000, 0.0000, 0.0000)  8 Nd 3.46, 4 Sb 3.47
Sb (0.5000, 0.5000, 0.5000)  8 Nd 3.46, 4 Gd 3.47

Summary:
As for the offset from the most stable computed form: 0.00 eV per formula unit. Its symmetry is No. 123. As for the uncorrected formation energy: -540.0 meV/atom. Its crystal system is tetragonal.

=====

No. 4
Mn4AsCl: relaxed, PBE.

Cell: 5.0825 5.0825 5.0825 Å, 60.00 60.00 60.00°
Closest atoms and distances in Å follow each position.
Atoms (fractional coordinates):
Mn (0.3764, 0.3764, 0.3764)  6 Mn 2.51-2.57
Cl (0.0000, 0.0000, 0.0000)  12 Mn 2.98, 4 As 3.11
Mn (0.8707, 0.3764, 0.3764)  6 Mn 2.51-2.57
Mn (0.3764, 0.8707, 0.3764)  6 Mn 2.51-2.57
As (0.7500, 0.7500, 0.7500)  12 Mn 2.98, 4 Cl 3.11
Mn (0.3764, 0.3764, 0.8707)  6 Mn 2.51-2.57

Summary:
Its symmetry is No. 216. As for the uncorrected formation energy: 593.3 meV/atom. Its crystal system is cubic.

=====

No. 5
ZnGe2Au: relaxed, PBE.

Cell: 7.5468 7.5468 5.9807 Å, 50.88 50.88 90.00°
Closest atoms and distances in Å follow each position.
Atoms (fractional coordinates):
Zn (0.2500, 0.7500, 0.5000)  2 Au 2.70, 4 Ge 2.83
Ge (0.3750, 0.3610, 0.7500)  2 Au 2.68, 2 Ge 2.71, 2 Zn 2.83
Ge (0.6390, 0.1250, 0.2500)  2 Au 2.68, 2 Ge 2.71, 2 Zn 2.83
Ge (0.1110, 0.6250, 0.2500)  2 Au 2.68, 2 Ge 2.71, 2 Zn 2.83
Au (0.0000, 0.0000, 0.0000)  4 Ge 2.68, 2 Zn 2.70
Ge (0.8750, 0.8890, 0.7500)  2 Au 2.68, 2 Ge 2.71, 2 Zn 2.83
Zn (0.5000, 0.5000, 0.0000)  2 Au 2.70, 4 Ge 2.83
Au (0.7500, 0.2500, 0.5000)  4 Ge 2.68, 2 Zn 2.70

Summary:
Its symmetry is No. 122. The value obtained for the formation energy is 0.15 eV/atom. Its crystal system is tetragonal.

=====

No. 6
YScBe: relaxed, PBE.

Cell: 4.6381 4.6381 4.6381 Å, 60.00 60.00 60.00°
Closest atoms and distances in Å follow each position.
Atoms (fractional coordinates):
Be (0.7500, 0.7500, 0.7500)  4 Sc 2.84, 4 Y 2.84
Sc (0.0000, 0.0000, 0.0000)  4 Be 2.84
Y (0.5000, 0.5000, 0.5000)  4 Be 2.84

Summary:
As for the offset from the most stable computed form: 0.68 eV per formula unit. Its symmetry is No. 216. The value obtained for the formation energy is 0.27 eV/atom. Its crystal system is cubic.

=====

No. 7
LiCa2Au6: relaxed, PBE.

Cell: 6.0656 5.9339 5.9339 Å, 60.00 90.01 90.01°
Closest atoms and distances in Å follow each position.
Atoms (fractional coordinates):
Au (0.6891, 0.1729, 0.6543)  1 Li 2.59, 2 Au 2.86
Li (0.0000, 0.0000, 0.0000)  6 Au 2.59
Ca (0.8476, 0.6667, 0.6667)  9 Au 3.12-3.26
Ca (0.1524, 0.3333, 0.3333)  9 Au 3.12-3.26
Au (0.6891, 0.6543, 0.1729)  1 Li 2.59, 2 Au 2.86
Au (0.3108, 0.8270, 0.8270)  1 Li 2.59, 2 Au 2.86
Au (0.3109, 0.3457, 0.8271)  1 Li 2.59, 2 Au 2.86
Au (0.6892, 0.1730, 0.1730)  1 Li 2.59, 2 Au 2.86
Au (0.3109, 0.8271, 0.3457)  1 Li 2.59, 2 Au 2.86

Summary:
Its symmetry is No. 164. The value obtained for the formation energy is -0.56 eV/atom. Its crystal system is trigonal.

=====

No. 8
Y2GaTeW: relaxed, PBE.

Cell: 5.4050 5.1120 5.4050 Å, 90.00 90.00 90.00°
Closest atoms and distances in Å follow each position.
Atoms (fractional coordinates):
Ga (0.0000, 0.0000, 0.0000)  2 Te 2.56, 4 Y 2.70
Y (0.5000, 0.0000, 0.0000)  2 Ga 2.70
W (0.5000, 0.5000, 0.5000)  8 Y 3.72, 4 Te 3.82
Te (0.0000, 0.5000, 0.0000)  2 Ga 2.56
Y (0.0000, 0.0000, 0.5000)  2 Ga 2.70

Summary:
Its symmetry is No. 123. As for the uncorrected formation energy: 1073.3 meV/atom. Its crystal system is tetragonal.

=====

No. 9
HoTm6Al2: relaxed, PBE.

Cell: 3.6045 6.4292 11.4241 Å, 75.55 80.92 73.72°
Closest atoms and distances in Å follow each position.
Atoms (fractional coordinates):
Tm (0.6866, 0.5025, 0.1244)  2 Al 3.09, 5 Tm 3.34-3.42
Tm (0.9791, 0.7097, 0.3320)  2 Al 3.06, 3 Tm 3.41-3.42
Tm (0.3119, 0.7897, 0.5865)  2 Al 3.16, 8 Tm 3.37-3.52
Al (0.3508, 0.0916, 0.2067)  6 Tm 3.06-3.16, 2 Ho 3.09
Tm (0.0209, 0.2903, 0.6680)  2 Al 3.06, 3 Tm 3.41-3.42
Ho (0.0000, 0.0000, 0.0000)  4 Al 3.09
Al (0.6492, 0.9084, 0.7933)  6 Tm 3.06-3.16, 2 Ho 3.09
Tm (0.3134, 0.4975, 0.8756)  2 Al 3.09, 5 Tm 3.34-3.42
Tm (0.6881, 0.2103, 0.4135)  2 Al 3.16, 8 Tm 3.37-3.52

Summary:
Its symmetry is No. 12. The value obtained for the formation energy is -0.17 eV/atom. Its crystal system is monoclinic.

=====

No. 10
Ca2MgMn: relaxed, PBE.

Cell: 5.3681 5.3681 3.9271 Å, 90.00 90.00 89.83°
Closest atoms and distances in Å follow each position.
Atoms (fractional coordinates):
Mg (0.5000, 0.0000, 0.5000)  8 Ca 3.33
Mn (0.0000, 0.5000, 0.5000)  8 Ca 3.33
Ca (0.0000, 0.0000, 0.0000)  4 Mg 3.33, 4 Mn 3.33
Ca (0.5000, 0.5000, 0.0000)  4 Mn 3.33, 4 Mg 3.33

Summary:
Its symmetry is No. 65. The value obtained for the formation energy is 0.25 eV/atom. Its crystal system is orthorhombic.

=====

No. 11
CeSiBIr6: relaxed, PBE.

Cell: 5.9431 8.6487 7.7037 Å, 124.15 112.69 90.00°
Closest atoms and distances in Å follow each position.
Atoms (fractional coordinates):
Ir (0.1282, 0.3569, 0.7456)  1 B 2.05
Ir (0.1282, 0.8887, 0.7456)  1 B 2.05
Ir (0.8718, 0.6431, 0.2544)  1 B 2.05
Ir (0.4468, 0.6968, 0.8936)  2 B 2.24
Ir (0.5532, 0.3032, 0.1064)  2 B 2.24
Ir (0.6174, 0.3569, 0.7456)  1 B 2.05
B (0.5000, 0.5000, 0.0000)  6 Ir 2.05-2.24
Ce (0.8088, 0.5588, 0.6175)  6 Ir 2.85-3.03
Ir (0.0774, 0.8274, 0.1549)  2 Si 2.45, 4 Ir 2.59
Si (0.0000, 0.0000, 0.5000)  6 Ir 2.45
Ir (0.3826, 0.6431, 0.2544)  1 B 2.05
Ce (0.1912, 0.4412, 0.3825)  6 Ir 2.85-3.03
B (0.5000, 0.0000, 0.0000)  6 Ir 2.05-2.24
Ir (0.6174, 0.8887, 0.7456)  1 B 2.05
Ir (0.9226, 0.1726, 0.8451)  2 Si 2.45, 4 Ir 2.59
Ir (0.8718, 0.1113, 0.2544)  1 B 2.05
Ir (0.3826, 0.1113, 0.2544)  1 B 2.05
Si (0.5000, 0.0000, 0.5000)  6 Ir 2.45

Summary:
Its symmetry is No. 74. As for the uncorrected formation energy: -122.6 meV/atom. Its crystal system is orthorhombic.

=====

No. 12
Mn2FeCo: relaxed, PBE.

Cell: 4.2851 4.2851 4.3173 Å, 81.11 81.11 33.17°
Closest atoms and distances in Å follow each position.
Atoms (fractional coordinates):
Mn (0.2488, 0.2488, 0.2592)  3 Co 2.44-2.45, 5 Mn 2.45-2.51, 4 Fe 2.45-2.51
Fe (0.7492, 0.7492, 0.7520)  2 Fe 2.45, 7 Mn 2.45-2.51, 3 Co 2.47-2.51
Co (0.5018, 0.5018, 0.4936)  7 Mn 2.44-2.49, 2 Co 2.45, 3 Fe 2.47-2.51
Mn (0.0002, 0.0002, 0.9953)  5 Mn 2.45-2.51, 3 Fe 2.46-2.47, 4 Co 2.48-2.49

Summary:
As for the offset from the most stable computed form: 0.31 eV per formula unit. Its symmetry is No. 8. The value obtained for the formation energy is 0.09 eV/atom. Its crystal system is monoclinic.

=====

No. 13
Li2AsAu: relaxed, PBE.

Cell: 9.2791 9.2791 9.2791 Å, 18.78 18.78 18.78°
Closest atoms and distances in Å follow each position.
Atoms (fractional coordinates):
Au (0.7485, 0.7485, 0.7485)  3 Li 2.70, 3 As 2.96
Li (0.0066, 0.0066, 0.0066)  3 Au 2.70
Li (0.2425, 0.2425, 0.2425)  3 As 2.66
As (0.5024, 0.5024, 0.5024)  3 Li 2.66, 3 Au 2.96

Summary:
Its symmetry is No. 160. The value obtained for the formation energy is -0.09 eV/atom. Its crystal system is trigonal.

=====

No. 14
AlMo3: relaxed, PBE.

Cell: 4.4457 4.4457 4.4457 Å, 60.00 60.00 60.00°
Closest atoms and distances in Å follow each position.
Atoms (fractional coordinates):
Mo (0.2500, 0.2500, 0.2500)  4 Mo 2.72, 4 Al 2.72
Mo (0.7500, 0.7500, 0.7500)  4 Mo 2.72, 4 Al 2.72
Al (0.0000, 0.0000, 0.0000)  8 Mo 2.72
Mo (0.5000, 0.5000, 0.5000)  8 Mo 2.72

Summary:
As for the offset from the most stable computed form: 0.96 eV per formula unit. Its symmetry is No. 225. The value obtained for the formation energy is -0.01 eV/atom. Its crystal system is cubic.

=====

No. 15
SmCd2In: relaxed, PBE.

Cell: 3.7733 3.7733 7.2711 Å, 90.00 90.00 90.00°
Closest atoms and distances in Å follow each position.
Atoms (fractional coordinates):
Cd (0.0000, 0.0000, 0.2317)  4 In 3.16, 4 Sm 3.31, 1 Cd 3.37
Sm (0.5000, 0.5000, 0.5000)  8 Cd 3.31, 2 In 3.64
Cd (0.0000, 0.0000, 0.7683)  4 In 3.16, 4 Sm 3.31, 1 Cd 3.37
In (0.5000, 0.5000, 0.0000)  8 Cd 3.16

Summary:
As for the offset from the most stable computed form: 0.59 eV per formula unit. Its symmetry is No. 123. The value obtained for the formation energy is -0.19 eV/atom. Its crystal system is tetragonal.

=====

No. 16
Pu2Hg3Pd4: relaxed, PBE.

Cell: 4.7245 4.8956 9.0921 Å, 86.42 90.00 118.85°
Closest atoms and distances in Å follow each position.
Atoms (fractional coordinates):
Pu (0.3310, 0.6621, 0.2200)  7 Pd 2.91-3.03
Pu (0.6690, 0.3379, 0.7800)  7 Pd 2.91-3.03
Hg (0.0000, 0.0000, 0.0000)  8 Pd 2.94-3.10
Hg (0.6608, 0.3217, 0.4218)  4 Pd 2.89-2.92, 3 Hg 3.01-3.20
Pd (0.3331, 0.6662, 0.8995)  4 Pu 2.91-3.01, 4 Hg 2.92-2.94, 2 Pd 3.25
Pd (0.6669, 0.3338, 0.1005)  4 Pu 2.91-3.01, 4 Hg 2.92-2.94, 2 Pd 3.25
Pd (0.0070, 0.0141, 0.6584)  4 Hg 2.89-3.10, 1 Pd 2.89, 3 Pu 2.99-3.03
Hg (0.3392, 0.6783, 0.5782)  4 Pd 2.89-2.92, 3 Hg 3.01-3.20
Pd (0.9930, 0.9859, 0.3416)  4 Hg 2.89-3.10, 1 Pd 2.89, 3 Pu 2.99-3.03

Summary:
Its symmetry is No. 12. The value obtained for the formation energy is -0.31 eV/atom. Its crystal system is monoclinic.

=====

No. 17
KCdInAg3: relaxed, PBE.

Cell: 6.0133 7.2478 7.9743 Å, 117.03 90.00 90.00°
Closest atoms and distances in Å follow each position.
Atoms (fractional coordinates):
In (0.2500, 0.9332, 0.8663)  5 Ag 2.84-2.99
K (0.2500, 0.7059, 0.4117)  2 Cd 3.11, 1 In 3.23
K (0.7500, 0.2941, 0.5883)  2 Cd 3.11, 1 In 3.23
Ag (0.5000, 0.6941, 0.0000)  3 Ag 2.81-3.01, 2 In 2.84, 2 Cd 2.97
Cd (0.7500, 0.6510, 0.3021)  5 Ag 2.91-2.97, 2 K 3.11
Ag (0.0000, 0.3059, 0.0000)  3 Ag 2.81-3.01, 2 In 2.84, 2 Cd 2.97
Ag (0.0000, 0.6941, 0.0000)  3 Ag 2.81-3.01, 2 In 2.84, 2 Cd 2.97
Cd (0.2500, 0.3490, 0.6979)  5 Ag 2.91-2.97, 2 K 3.11
In (0.7500, 0.0668, 0.1337)  5 Ag 2.84-2.99
Ag (0.5000, 0.3059, 0.0000)  3 Ag 2.81-3.01, 2 In 2.84, 2 Cd 2.97
Ag (0.2500, 0.1440, 0.2879)  1 Cd 2.91, 3 In 2.99-3.20
Ag (0.7500, 0.8560, 0.7121)  1 Cd 2.91, 3 In 2.99-3.20

Summary:
Its symmetry is No. 63. The value obtained for the formation energy is 0.07 eV/atom. Its crystal system is orthorhombic.

=====

No. 18
BaAl3Bi: relaxed, PBE.

Cell: 5.6366 5.6366 5.6366 Å, 90.00 90.00 90.00°
Closest atoms and distances in Å follow each position.
Atoms (fractional coordinates):
Bi (0.0000, 0.0000, 0.0000)  6 Al 2.82
Ba (0.5000, 0.5000, 0.5000)  12 Al 3.99
Al (0.0000, 0.0000, 0.5000)  2 Bi 2.82
Al (0.0000, 0.5000, 0.0000)  2 Bi 2.82
Al (0.5000, 0.0000, 0.0000)  2 Bi 2.82

Summary:
As for the offset from the most stable computed form: 0.00 eV per formula unit. Its symmetry is No. 221. The value obtained for the formation energy is 0.51 eV/atom. Its crystal system is cubic.

=====

No. 19
BaH3Pd: relaxed, PBE.

Cell: 4.0119 4.0119 9.8870 Å, 78.29 78.29 90.00°
Closest atoms and distances in Å follow each position.
Atoms (fractional coordinates):
H (0.6479, 0.9336, 0.1329)  1 Pd 1.70, 1 H 1.72
H (0.7475, 0.7475, 0.5050)  2 Pd 2.01
H (0.0664, 0.3521, 0.8671)  1 Pd 1.70, 1 H 1.72
H (0.2525, 0.2525, 0.4950)  2 Pd 2.01
Pd (0.2500, 0.7500, 0.5000)  4 H 2.01
Pd (0.0000, 0.0000, 0.0000)  4 H 1.70
Ba (0.6431, 0.1431, 0.7139)  8 H 2.73-2.88
H (0.0664, 0.7807, 0.8671)  1 Pd 1.70, 1 H 1.72
H (0.2193, 0.9336, 0.1329)  1 Pd 1.70, 1 H 1.72
Ba (0.8569, 0.3569, 0.2861)  8 H 2.73-2.88

Summary:
Its symmetry is No. 119. The total energy comes out at -3.62 eV/atom. Its crystal system is tetragonal.

=====

No. 20
Pa2Co3Si4Tc: relaxed, PBE.

Cell: 4.0402 4.0402 9.3234 Å, 90.00 90.00 90.00°
Closest atoms and distances in Å follow each position.
Atoms (fractional coordinates):
Si (0.0000, 0.5000, 0.3653)  3 Co 2.26-2.38, 2 Tc 2.38
Si (0.5000, 0.5000, 0.0000)  4 Co 2.32
Tc (0.5000, 0.5000, 0.5000)  4 Si 2.38
Pa (0.5000, 0.0000, 0.2510)  8 Si 3.05-3.09, 2 Tc 3.08, 6 Co 3.08-3.10
Co (0.5000, 0.0000, 0.8774)  5 Si 2.26-2.32
Si (0.5000, 0.0000, 0.6347)  3 Co 2.26-2.38, 2 Tc 2.38
Pa (0.0000, 0.5000, 0.7490)  8 Si 3.05-3.09, 2 Tc 3.08, 6 Co 3.08-3.10
Co (0.0000, 0.0000, 0.5000)  4 Si 2.38
Si (0.0000, 0.0000, 0.0000)  4 Co 2.32
Co (0.0000, 0.5000, 0.1226)  5 Si 2.26-2.32

Summary:
Its symmetry is No. 115. As for the uncorrected formation energy: -730.5 meV/atom. Its crystal system is tetragonal.